A plane-wave DFT calculation with PBE-GGA was carried out for a relaxed structure of La2TlH2.

Properties
**Energy above the most stable polymorph in this dataset**: 344.9 meV per atom
**DOS(E_F)**: 3.9 states/eV/f.u.
**VASP energy**: -4.024 eV per atom

Cell and atoms, written as extended XYZ:
```
5
Lattice="-2.517 2.517 4.450 2.517 -2.517 4.450 2.517 2.517 -4.450" Properties=species:S:1:pos:R:3 pbc="T T T"
La 2.517 0.000 2.225
La 0.000 2.517 2.225
Tl 0.000 0.000 0.000
H 0.000 0.000 2.606
H 0.000 0.000 6.293
```